PBE-GGA Mn2FeGeMo, relaxed; space group = P4/mmm (123); total energy = -7.101 eV per atom; formation energy from the elements = 1.349 eV/atom; D(E_F) = 5.25 states/eV/cell
1.0
4.662 0.000 0.000
0.000 4.382 0.000
0.000 0.000 4.662
Mo Mn Ge Fe
1 2 1 1
Direct
0.000 0.000 0.000
0.000 0.000 0.500
0.500 0.000 0.000
0.500 0.500 0.500
0.000 0.500 0.000